Record 1
A plane-wave DFT calculation with PBE-GGA was carried out for an optimized crystal structure of Tb6Pm7Ho16.

Cell and atoms, written as extended XYZ:
```
29
Lattice="9.6773 0.0000 5.5872 3.2258 9.1238 5.5872 0.0000 0.0000 11.1744" Properties=species:S:1:pos:R:3 pbc="T T T"
Tb 4.9203 6.7275 8.5222
Tb 7.9828 2.3964 13.8266
Tb 7.9828 2.3964 8.5222
Tb 4.9203 6.7275 13.8266
Tb 9.5141 6.7275 11.1744
Tb 3.3890 2.3964 11.1744
Pm 0.0000 0.0000 0.0000
Pm 4.8386 0.0000 8.3808
Pm 1.6129 4.5619 2.7936
Pm 1.6129 4.5619 8.3808
Pm 4.8386 0.0000 2.7936
Pm 0.0000 0.0000 5.5872
Pm 6.4515 4.5619 5.5872
Ho 11.2493 7.9545 14.0388
Ho 11.2493 7.9545 19.4844
Ho 9.6773 3.5081 16.7616
Ho 6.5333 7.9545 16.7616
Ho 1.6537 1.1694 2.8644
Ho 1.6537 1.1694 8.3100
Ho 3.2258 5.6157 5.5872
Ho 6.3698 1.1694 5.5872
Ho 8.3869 5.9304 7.8223
Ho 8.3869 5.9304 14.5265
Ho 6.4515 0.4564 11.1744
Ho 2.5808 5.9304 11.1744
Ho 4.5162 3.1934 7.8222
Ho 4.5162 3.1934 14.5265
Ho 6.4515 8.6674 11.1744
Ho 10.3222 3.1934 11.1744
```

Output
* magnetic moment: 0.00 μB/cell
* final energy: -4.38 eV/atom
* theoretical density: 7.754 g cm⁻³
* ΔE_f: 7.368 eV/f.u.
* V: 34.02 Å³/atom

=====

Record 2
A plane-wave DFT calculation with PBE-GGA was carried out for an optimized crystal structure of Ho3LuN.

Cell and atoms, written as extended XYZ:
```
5
Lattice="-3.4860 -3.3452 0.8913 2.4440 -1.4822 3.9959 -2.4519 3.2787 2.7158" Properties=species:S:1:pos:R:3 pbc="T T T"
Lu -1.7469 -0.7744 3.8015
Ho 1.2220 -0.7411 1.9979
Ho -1.2259 1.6393 1.3579
Ho -1.7430 -1.6726 0.4457
N 0.0000 0.0000 0.0000
```

Output
* magnetic moment: 0.01 μB/cell
* final energy: -5.86 eV/atom
* theoretical density: 9.575 g cm⁻³
* uncorrected formation energy: -263 kJ/mol of formula units
* V: 23.72 Å³/atom

=====

> The highest theoretical density belongs to which entry?

Ho3LuN

=====

> Which value of V does entry 2 give?

23.72 Å³/atom

=====

Copy entry 1 word for word.
A plane-wave DFT calculation with PBE-GGA was carried out for an optimized crystal structure of Tb6Pm7Ho16.

Cell and atoms, written as extended XYZ:
```
29
Lattice="9.6773 0.0000 5.5872 3.2258 9.1238 5.5872 0.0000 0.0000 11.1744" Properties=species:S:1:pos:R:3 pbc="T T T"
Tb 4.9203 6.7275 8.5222
Tb 7.9828 2.3964 13.8266
Tb 7.9828 2.3964 8.5222
Tb 4.9203 6.7275 13.8266
Tb 9.5141 6.7275 11.1744
Tb 3.3890 2.3964 11.1744
Pm 0.0000 0.0000 0.0000
Pm 4.8386 0.0000 8.3808
Pm 1.6129 4.5619 2.7936
Pm 1.6129 4.5619 8.3808
Pm 4.8386 0.0000 2.7936
Pm 0.0000 0.0000 5.5872
Pm 6.4515 4.5619 5.5872
Ho 11.2493 7.9545 14.0388
Ho 11.2493 7.9545 19.4844
Ho 9.6773 3.5081 16.7616
Ho 6.5333 7.9545 16.7616
Ho 1.6537 1.1694 2.8644
Ho 1.6537 1.1694 8.3100
Ho 3.2258 5.6157 5.5872
Ho 6.3698 1.1694 5.5872
Ho 8.3869 5.9304 7.8223
Ho 8.3869 5.9304 14.5265
Ho 6.4515 0.4564 11.1744
Ho 2.5808 5.9304 11.1744
Ho 4.5162 3.1934 7.8222
Ho 4.5162 3.1934 14.5265
Ho 6.4515 8.6674 11.1744
Ho 10.3222 3.1934 11.1744
```

Output
* magnetic moment: 0.00 μB/cell
* final energy: -4.38 eV/atom
* theoretical density: 7.754 g cm⁻³
* ΔE_f: 7.368 eV/f.u.
* V: 34.02 Å³/atom